Entry 1:
Below is LiCaAs2Pd after structural relaxation, with properties calculated at the GGA-PBE level.

As for the symmetry: No. 51. Its calculated formation energy is -16.76 kcal/mol of atoms. As for the crystal system: orthorhombic. The total energy is -4.408 eV/atom.

a b c (Å): 5.707 5.779 5.847
angles (deg): 90.00 90.00 90.00
Fractional positions:
Li: 0.250 0.000 0.111
Li: 0.750 0.000 0.889
Ca: 0.250 0.500 0.276
Ca: 0.750 0.500 0.724
As: 0.250 0.268 0.759
As: 0.250 0.732 0.759
As: 0.750 0.268 0.241
As: 0.750 0.732 0.241
Pd: 0.000 0.000 0.500
Pd: 0.500 0.000 0.500

=====

Entry 2:
Below is Li2CaAs2Pd after structural relaxation, with properties calculated at the GGA-PBE level.

As for the symmetry: No. 139. Its calculated formation energy is -11.17 kcal/mol of atoms. As for the crystal system: tetragonal. The total energy is -3.871 eV/atom.

a b c (Å): 6.403 6.403 6.403
angles (deg): 134.66 134.66 66.06
Fractional positions:
Li: 0.250 0.750 0.500
Li: 0.750 0.250 0.500
Ca: 0.000 0.000 0.000
As: 0.281 0.281 0.000
As: 0.719 0.719 0.000
Pd: 0.500 0.500 0.000

=====

Entry 3:
Below is Li2Ca2As4Pd after structural relaxation, with properties calculated at the GGA-PBE level.

As for the symmetry: No. 139. Its calculated formation energy is -15.56 kcal/mol of atoms. As for the crystal system: tetragonal. The total energy is -4.188 eV/atom.

a b c (Å): 6.297 6.297 6.297
angles (deg): 117.25 117.25 94.84
Fractional positions:
Li: 0.196 0.196 0.000
Li: 0.804 0.804 0.000
Ca: 0.250 0.750 0.500
Ca: 0.750 0.250 0.500
As: 0.229 0.229 0.459
As: 0.229 0.771 0.000
As: 0.771 0.229 0.000
As: 0.771 0.771 0.541
Pd: 0.500 0.500 0.000

=====

Entry 4:
Below is LiCaAs2Pt5 after structural relaxation, with properties calculated at the GGA-PBE level.

As for the symmetry: No. 123. Its calculated formation energy is -11.27 kcal/mol of atoms. As for the crystal system: tetragonal. The total energy is -5.313 eV/atom.

a b c (Å): 4.093 4.093 10.447
angles (deg): 90.00 90.00 90.00
Fractional positions:
Li: 0.000 0.000 0.000
Ca: 0.000 0.000 0.500
As: 0.500 0.500 0.270
As: 0.500 0.500 0.730
Pt: 0.000 0.500 0.143
Pt: 0.000 0.500 0.857
Pt: 0.500 0.000 0.143
Pt: 0.500 0.000 0.857
Pt: 0.500 0.500 0.500

=====

Entry 5:
Below is LiCa2As3Rh4 after structural relaxation, with properties calculated at the GGA-PBE level.

As for the symmetry: No. 115. Its calculated formation energy is -17.82 kcal/mol of atoms. As for the crystal system: tetragonal. The total energy is -5.700 eV/atom.

a b c (Å): 4.101 4.101 10.530
angles (deg): 90.00 90.00 90.00
Fractional positions:
Li: 0.000 0.000 0.000
Ca: 0.000 0.500 0.757
Ca: 0.500 0.000 0.243
As: 0.000 0.500 0.365
As: 0.500 0.000 0.635
As: 0.500 0.500 0.000
Rh: 0.000 0.000 0.500
Rh: 0.000 0.500 0.136
Rh: 0.500 0.000 0.864
Rh: 0.500 0.500 0.500

=====

Entry 6:
Below is LiCaAs2Rh5 after structural relaxation, with properties calculated at the GGA-PBE level.

As for the symmetry: No. 123. Its calculated formation energy is -7.62 kcal/mol of atoms. As for the crystal system: tetragonal. The total energy is -5.883 eV/atom.

a b c (Å): 4.159 4.159 8.867
angles (deg): 90.00 90.00 90.00
Fractional positions:
Li: 0.000 0.000 0.000
Ca: 0.000 0.000 0.500
As: 0.500 0.500 0.141
As: 0.500 0.500 0.859
Rh: 0.000 0.500 0.271
Rh: 0.000 0.500 0.729
Rh: 0.500 0.000 0.271
Rh: 0.500 0.000 0.729
Rh: 0.500 0.500 0.500

=====

Entry 7:
Below is LiCa2As4Rh3 after structural relaxation, with properties calculated at the GGA-PBE level.

As for the symmetry: No. 115. Its calculated formation energy is -17.25 kcal/mol of atoms. As for the crystal system: tetragonal. The total energy is -5.405 eV/atom.

a b c (Å): 4.291 4.291 10.126
angles (deg): 90.00 90.00 90.00
Fractional positions:
Li: 0.000 0.000 0.000
Ca: 0.000 0.500 0.750
Ca: 0.500 0.000 0.250
As: 0.000 0.000 0.500
As: 0.000 0.500 0.134
As: 0.500 0.000 0.866
As: 0.500 0.500 0.500
Rh: 0.000 0.500 0.376
Rh: 0.500 0.000 0.624
Rh: 0.500 0.500 0.000

=====

Entry 8:
Below is LiCa2As2Rh after structural relaxation, with properties calculated at the GGA-PBE level.

As for the symmetry: No. 72. Its calculated formation energy is -20.25 kcal/mol of atoms. As for the crystal system: orthorhombic. The total energy is -4.639 eV/atom.

a b c (Å): 8.220 8.220 8.220
angles (deg): 137.87 60.75 138.34
Fractional positions:
Li: 0.250 0.250 0.000
Li: 0.750 0.750 0.000
Ca: 0.165 0.744 0.908
Ca: 0.335 0.244 0.579
Ca: 0.665 0.756 0.421
Ca: 0.835 0.256 0.092
As: 0.112 0.256 0.367
As: 0.388 0.756 0.144
As: 0.612 0.244 0.856
As: 0.888 0.744 0.633
Rh: 0.250 0.750 0.500
Rh: 0.750 0.250 0.500

=====

Entry 9:
Below is LiCaAsS4 after structural relaxation, with properties calculated at the GGA-PBE level.

As for the symmetry: No. 74. As for the crystal system: orthorhombic. The total energy is -4.325 eV/atom.

a b c (Å): 7.574 7.574 7.574
angles (deg): 120.74 115.60 93.26
Fractional positions:
Li: 0.500 0.000 0.000
Li: 0.500 0.500 0.500
Ca: 0.000 0.000 0.000
Ca: 0.500 0.000 0.500
As: 0.130 0.380 0.750
As: 0.870 0.620 0.250
S: 0.209 0.729 0.480
S: 0.251 0.271 0.980
S: 0.259 0.267 0.508
S: 0.259 0.752 0.992
S: 0.741 0.248 0.008
S: 0.741 0.733 0.492
S: 0.749 0.729 0.020
S: 0.791 0.271 0.520

=====

Entry 10:
Below is Li2CaAsS4 after structural relaxation, with properties calculated at the GGA-PBE level.

As for the symmetry: No. 121. As for the crystal system: tetragonal. The total energy is -4.348 eV/atom.

a b c (Å): 6.013 6.013 6.013
angles (deg): 113.41 113.41 101.86
Fractional positions:
Li: 0.250 0.750 0.500
Li: 0.750 0.250 0.500
Ca: 0.000 0.000 0.000
As: 0.500 0.500 0.000
S: 0.119 0.530 0.000
S: 0.470 0.470 0.590
S: 0.530 0.119 0.000
S: 0.881 0.881 0.410

=====

Entry 11:
Below is SrLi2CaAs after structural relaxation, with properties calculated at the GGA-PBE level.

As for the symmetry: No. 123. Its calculated formation energy is 16.28 kcal/mol of atoms. As for the crystal system: tetragonal. The total energy is -1.726 eV/atom.

a b c (Å): 5.089 5.089 6.729
angles (deg): 90.00 90.00 90.00
Fractional positions:
Sr: 0.000 0.000 0.000
Li: 0.000 0.500 0.500
Li: 0.500 0.000 0.500
Ca: 0.000 0.000 0.500
As: 0.500 0.500 0.000

=====

Entry 12:
Below is SrLiCa2As after structural relaxation, with properties calculated at the GGA-PBE level.

As for the symmetry: No. 123. Its calculated formation energy is -10.29 kcal/mol of atoms. As for the crystal system: tetragonal. The total energy is -2.896 eV/atom.

a b c (Å): 5.704 5.704 6.074
angles (deg): 90.00 90.00 90.00
Fractional positions:
Sr: 0.000 0.000 0.000
Li: 0.500 0.500 0.000
Ca: 0.000 0.500 0.500
Ca: 0.500 0.000 0.500
As: 0.000 0.000 0.500